A relaxed Cs2In2BiSb2 crystal, computed with PBE.

Computed properties:
Fermi-level density of states   6.054 states/eV per cell
Size of the total moment   0.00 μB per formula unit
Total energy   -2.983 eV/atom
Formation energy from raw total energies   -0.224 eV per atom

Structure (extended XYZ):
```
7
Lattice="8.3630 -2.2660 0.0000 8.3630 2.2660 0.0000 -6.4476 0.0000 8.3299" Properties=species:S:1:pos:R:3 pbc="T T T"
Cs -0.6650 0.0000 2.1698
Cs 10.9433 0.0000 6.1600
In 4.0222 0.0000 1.3997
In 6.2560 0.0000 6.9302
Bi 5.1391 0.0000 4.1649
Sb -0.4199 0.0000 7.5297
Sb 10.6982 0.0000 0.8002
```



A relaxed Cs2InBiSe4 crystal, computed with PBE.

Computed properties:
Size of the total moment   0.00 μB per formula unit
Total energy   -3.549 eV/atom
Formation energy from raw total energies   -0.766 eV per atom

Structure (extended XYZ):
```
16
Lattice="0.0000 7.7023 12.8626 3.4447 0.0000 12.8626 3.4447 7.7023 0.0000" Properties=species:S:1:pos:R:3 pbc="T T T"
Cs 2.5835 5.7767 1.4630
Cs 4.3059 9.6278 7.8943
Cs 2.5835 5.7767 17.8308
Cs 4.3059 9.6278 24.2621
In 2.5835 5.7767 9.6469
In 4.3059 9.6278 16.0782
Bi 0.8612 1.9256 3.2156
Bi 6.0282 13.4790 22.5095
Se 2.7322 3.4965 4.6564
Se 4.1572 7.3477 11.0877
Se 2.4349 8.0569 4.6564
Se 2.4349 3.4965 14.6375
Se 4.4545 11.9080 11.0877
Se 4.4545 7.3477 21.0688
Se 2.7322 8.0569 14.6375
Se 4.1572 11.9080 21.0688
```



A relaxed Cs2In4Sn3Bi crystal, computed with PBE.

Computed properties:
Fermi-level density of states   3.669 states/eV per cell
Size of the total moment   0.00 μB per formula unit
Total energy   -3.028 eV/atom
Energy of formation from the pure elements   -0.173 eV/atom

Structure (extended XYZ):
```
10
Lattice="5.3995 0.0000 0.0000 0.0000 5.3995 0.0000 0.0000 0.0000 11.9282" Properties=species:S:1:pos:R:3 pbc="T T T"
Cs 0.0000 2.6998 2.9658
Cs 2.6998 0.0000 8.9624
In 0.0000 0.0000 0.0000
In 0.0000 2.6998 7.5078
In 2.6998 0.0000 4.4203
In 2.6998 2.6998 0.0000
Sn 0.0000 2.6998 10.4611
Sn 2.6998 0.0000 1.4670
Sn 2.6998 2.6998 5.9641
Bi 0.0000 0.0000 5.9641
```



A relaxed Cs2InSn2Bi2 crystal, computed with PBE.

Computed properties:
Fermi-level density of states   3.080 states/eV per cell
Size of the total moment   0.00 μB per formula unit
Total energy   -3.053 eV/atom
Energy of formation from the pure elements   -0.165 eV/atom

Structure (extended XYZ):
```
7
Lattice="5.0844 0.0000 0.0000 2.5363 7.4008 0.0000 0.0049 3.4711 8.1504" Properties=species:S:1:pos:R:3 pbc="T T T"
Cs 1.2728 3.4956 3.0652
Cs 6.3528 7.3763 5.0852
In 3.8104 3.7004 0.0000
Sn 3.8043 9.9668 6.9619
Sn 3.8214 0.9051 1.1885
Bi 3.8075 6.5581 1.8121
Bi 3.8181 4.3139 6.3383
```



A relaxed Cs2In2Bi2Te crystal, computed with PBE.

Computed properties:
Fermi-level density of states   1.669 states/eV per cell
Size of the total moment   0.00 μB per formula unit
Total energy   -2.932 eV/atom
Formation energy from raw total energies   -0.348 eV per atom

Structure (extended XYZ):
```
7
Lattice="5.0008 0.0000 0.0000 0.0082 7.4448 0.0000 2.4979 2.1106 9.0264" Properties=species:S:1:pos:R:3 pbc="T T T"
Cs 1.2494 2.8444 2.3487
Cs 6.2574 6.7109 6.6776
In 3.7487 3.1503 6.5842
In 3.7582 6.4050 2.4421
Bi 1.2578 6.5338 0.3709
Bi 6.2491 3.0216 8.6554
Te 3.7493 1.0553 4.5132
```



A relaxed Cs2InBiTe4 crystal, computed with PBE.

Computed properties:
Size of the total moment   0.00 μB per formula unit
Total energy   -3.226 eV/atom
Formation energy from raw total energies   -0.615 eV per atom

Structure (extended XYZ):
```
16
Lattice="0.0000 8.0475 13.4865 3.6198 0.0000 13.4865 3.6198 8.0475 0.0000" Properties=species:S:1:pos:R:3 pbc="T T T"
Cs 2.7148 6.0356 1.5825
Cs 4.5247 10.0594 8.3258
Cs 2.7148 6.0356 18.6473
Cs 4.5247 10.0594 25.3905
In 2.7148 6.0356 10.1149
In 4.5247 10.0594 16.8581
Bi 0.9049 2.0119 3.3716
Bi 6.3346 14.0831 23.6014
Te 2.8516 3.6828 4.9858
Te 4.3879 7.7066 11.7290
Te 2.5780 8.3884 4.9858
Te 2.5780 3.6828 15.2440
Te 4.6615 12.4122 11.7290
Te 4.6615 7.7066 21.9873
Te 2.8516 8.3884 15.2440
Te 4.3879 12.4122 21.9873
```



A relaxed CsTiInBi2 crystal, computed with PBE.

Computed properties:
Fermi-level density of states   3.449 states/eV per cell
Size of the total moment   0.00 μB per formula unit
Total energy   -3.962 eV/atom
Energy of formation from the pure elements   -0.112 eV/atom

Structure (extended XYZ):
```
5
Lattice="5.5409 0.0000 0.0000 0.0000 5.5409 0.0000 0.0000 0.0000 5.6326" Properties=species:S:1:pos:R:3 pbc="T T T"
Cs 0.0000 0.0000 0.0000
Ti 2.7704 2.7704 2.8163
In 2.7704 2.7704 0.0000
Bi 0.0000 2.7704 2.8163
Bi 2.7704 0.0000 2.8163
```



A relaxed CsTiIn2Bi crystal, computed with PBE.

Computed properties:
Fermi-level density of states   3.944 states/eV per cell
Size of the total moment   0.00 μB per formula unit
Total energy   -3.652 eV/atom
Energy of formation from the pure elements   -0.031 eV/atom

Structure (extended XYZ):
```
5
Lattice="5.5964 0.0000 0.0000 0.0000 5.5964 0.0000 0.0000 0.0000 5.4761" Properties=species:S:1:pos:R:3 pbc="T T T"
Cs 0.0000 0.0000 0.0000
Ti 2.7982 2.7982 2.7381
In 0.0000 2.7982 2.7381
In 2.7982 0.0000 2.7381
Bi 2.7982 2.7982 0.0000
```



A relaxed Cs3Tl4In2Bi2 crystal, computed with PBE.

Computed properties:
Fermi-level density of states   2.551 states/eV per cell
Size of the total moment   0.00 μB per formula unit
Total energy   -2.401 eV/atom
Energy of formation from the pure elements   -0.104 eV/atom

Structure (extended XYZ):
```
11
Lattice="5.3378 0.0000 0.0000 -2.6689 4.6227 0.0000 0.0000 0.0000 20.6483" Properties=species:S:1:pos:R:3 pbc="T T T"
Cs 0.0000 0.0000 0.0000
Cs 0.0000 0.0000 5.8169
Cs 0.0000 0.0000 14.8314
Tl 0.0000 3.0818 8.6977
Tl 0.0000 3.0818 17.7714
Tl 2.6689 1.5409 2.8769
Tl 2.6689 1.5409 11.9506
In 0.0000 3.0818 11.8094
In 2.6689 1.5409 8.8390
Bi 0.0000 3.0818 2.9264
Bi 2.6689 1.5409 17.7219
```



A relaxed Cs2Tl6InBi crystal, computed with PBE.

Computed properties:
Fermi-level density of states   5.061 states/eV per cell
Size of the total moment   0.00 μB per formula unit
Total energy   -2.287 eV/atom
Energy of formation from the pure elements   -0.035 eV/atom

Structure (extended XYZ):
```
10
Lattice="6.6591 0.0000 0.0000 3.2709 7.7094 0.0000 3.2950 0.6830 7.7574" Properties=species:S:1:pos:R:3 pbc="T T T"
Cs 1.6320 2.0542 1.6534
Cs 11.5929 6.3382 6.1040
Tl 3.2338 2.2476 5.8759
Tl 4.9529 3.6558 3.3569
Tl 6.5600 6.1679 1.8588
Tl 6.6650 2.2245 5.8987
Tl 8.2720 4.7366 4.4005
Tl 9.9911 6.1448 1.8815
In 4.9770 0.3415 3.8787
Bi 4.9650 3.8547 0.0000
```



A relaxed Cs2Tl3In4Bi crystal, computed with PBE.

Computed properties:
Fermi-level density of states   5.482 states/eV per cell
Size of the total moment   0.00 μB per formula unit
Total energy   -2.474 eV/atom
Energy of formation from the pure elements   -0.110 eV/atom

Structure (extended XYZ):
```
10
Lattice="5.3200 0.0000 0.0000 0.0000 5.3200 0.0000 0.0000 0.0000 12.8651" Properties=species:S:1:pos:R:3 pbc="T T T"
Cs 0.0000 2.6600 3.2064
Cs 2.6600 0.0000 9.6587
Tl 0.0000 0.0000 0.0000
Tl 0.0000 2.6600 8.0833
Tl 2.6600 0.0000 4.7818
In 0.0000 0.0000 6.4325
In 0.0000 2.6600 11.1481
In 2.6600 0.0000 1.7170
In 2.6600 2.6600 6.4325
Bi 2.6600 2.6600 0.0000
```



A relaxed Cs2TlIn3Bi4 crystal, computed with PBE.

Computed properties:
Fermi-level density of states   4.185 states/eV per cell
Size of the total moment   0.00 μB per formula unit
Total energy   -2.976 eV/atom
Energy of formation from the pure elements   -0.195 eV/atom

Structure (extended XYZ):
```
10
Lattice="5.3328 0.0000 0.0000 0.0000 5.3328 0.0000 0.0000 0.0000 13.6286" Properties=species:S:1:pos:R:3 pbc="T T T"
Cs 0.0000 2.6664 3.3914
Cs 2.6664 0.0000 10.2371
Tl 0.0000 0.0000 6.8143
In 0.0000 2.6664 11.8275
In 2.6664 0.0000 1.8011
In 2.6664 2.6664 6.8143
Bi 0.0000 0.0000 0.0000
Bi 0.0000 2.6664 8.6505
Bi 2.6664 0.0000 4.9781
Bi 2.6664 2.6664 0.0000
```



- What is the size of the total moment in the first record?
  0.00 μB per formula unit



- Look up the size of the total moment of the sixth one.
  0.00 μB per formula unit



- The lowest total energy belongs to which entry?
  CsTiInBi2